# 1
The following is a PBE-GGA calculation of a geometry-optimized Tb3Sm6Y2Ho structure, from Alexandria.

Values from the calculation:
Energy of formation   13 meV per atom
DFT total energy   -59.55 eV for the cell shown
V   32.74 Å³ per atom

a = 6.231 Å, b = 6.231 Å, c = 11.866 Å
α = 95.00°, β = 95.00°, γ = 119.98°
Sites, in units of the cell vectors:
Tb1 0.000 0.000 0.000
Tb2 0.333 0.667 0.000
Tb3 0.667 0.333 0.000
Sm1 0.084 0.416 0.250
Sm2 0.251 0.251 0.750
Sm3 0.416 0.084 0.250
Sm4 0.584 0.916 0.750
Sm5 0.749 0.749 0.250
Sm6 0.916 0.584 0.750
Y1 0.167 0.833 0.500
Y2 0.833 0.167 0.500
Ho1 0.500 0.500 0.500

# 2
The following is a PBE-GGA calculation of a geometry-optimized Tb2SmYHo6 structure, from Alexandria.

Values from the calculation:
Energy of formation   118 meV per atom
DFT total energy   -93.47 eV for the cell shown
V   32.08 Å³ per atom

a = 8.761 Å, b = 8.761 Å, c = 9.572 Å
α = 94.06°, β = 94.06°, γ = 118.15°
Sites, in units of the cell vectors:
Tb1 0.197 0.301 0.044
Tb2 0.301 0.197 0.544
Tb3 0.699 0.803 0.456
Tb4 0.803 0.699 0.956
Sm1 0.023 0.977 0.250
Sm2 0.977 0.023 0.750
Y1 0.408 0.592 0.750
Y2 0.592 0.408 0.250
Ho1 0.021 0.570 0.183
Ho2 0.124 0.748 0.557
Ho3 0.252 0.876 0.943
Ho4 0.291 0.506 0.380
Ho5 0.430 0.979 0.317
Ho6 0.494 0.709 0.120
Ho7 0.506 0.291 0.880
Ho8 0.570 0.021 0.683
Ho9 0.709 0.494 0.620
Ho10 0.748 0.124 0.057
Ho11 0.876 0.252 0.443
Ho12 0.979 0.430 0.817